6
Lattice="3.8020 -0.6356 0.5972 -1.0737 4.4064 -1.2071 1.4284 -2.7040 9.6547" Properties=species:S:1:pos:R:3 comment="GeClO | Alexandria | PBE | optimized geometry" de_polymorph_ev_per_atom=0.0000 space_group="P-1 (2)" e_form_raw_mev_per_atom=-1135 pbc="T T T"
Ge 1.7055 -1.7626 8.8972
O 0.5167 2.7381 -0.3715
O 3.6400 -1.6714 9.4164
Ge 2.4511 2.8293 0.1477
Cl 0.8657 2.1055 5.6235
Cl 3.2910 -1.0387 3.4214